An optimized crystal structure of NdPuCd4, computed with PBE-GGA.

Cell: 8.4685 8.4685 8.4685 Å, 90.00 90.00 90.00°
Space group F-43m (No. 216)
Asymmetric unit:
1 Nd 0.0000 0.0000 0.0000 [4 per cell]
2 Pu 0.2500 0.2500 0.7500 [4 per cell]
3 Cd 0.1252 0.1252 0.3748 [16 per cell]

D(E_F) = 2.286 states/eV per atom
total magnetic moment = 23.11 μB per cell
energy of formation from the pure elements = -0.148 eV/atom

=====

An optimized crystal structure of Te2MoSeN, computed with PBE-GGA.

Cell: 5.5646 5.5646 3.6621 Å, 90.00 90.00 90.00°
Space group P4/mmm (No. 123)
Asymmetric unit:
1 Te 0.0000 0.5000 0.0000 [2 per cell]
2 Mo 0.0000 0.0000 0.5000 [1 per cell]
3 Se 0.5000 0.5000 0.0000 [1 per cell]
4 N 0.5000 0.5000 0.5000 [1 per cell]

D(E_F) = 0.812 states/eV per atom
total magnetic moment = 3.15 μB per cell
uncorrected formation energy = 1.310 eV/atom

=====

An optimized crystal structure of AcPm4PrDy2, computed with PBE-GGA.

Cell: 5.1818 5.2053 10.3983 Å, 90.00 90.10 90.00°
Space group P2/m (No. 10)
Asymmetric unit:
1 Ac 0.0000 0.0000 0.0000 [1 per cell]
2 Pm 0.9998 0.5000 0.2549 [2 per cell]
3 Pm 0.5003 0.0000 0.2560 [2 per cell]
4 Pr 0.5000 0.5000 0.5000 [1 per cell]
5 Dy 0.0000 0.0000 0.5000 [1 per cell]
6 Dy 0.5000 0.5000 0.0000 [1 per cell]

D(E_F) = 1.562 states/eV per atom
total magnetic moment = 0.00 μB per cell
energy of formation from the pure elements = 0.030 eV/atom

=====

An optimized crystal structure of Pr3Sm, computed with PBE-GGA.

Cell: 5.2111 5.2111 10.5028 Å, 90.00 90.00 90.00°
Space group I4/mmm (No. 139)
Asymmetric unit:
1 Pr 0.0000 0.0000 0.0000 [2 per cell]
2 Pr 0.0000 0.5000 0.2500 [4 per cell]
3 Sm 0.0000 0.0000 0.5000 [2 per cell]

D(E_F) = 1.639 states/eV per atom
total magnetic moment = 0.00 μB per cell
energy of formation from the pure elements = 0.012 eV/atom

=====

| no. | calculated density (g cm⁻³) |
| --- | --- |
| 1 | 9.16 |
| 2 | 6.50 |
| 3 | 7.54 |
| 4 | 6.67 |